# 1
! PBE Be2NbRu, relaxed; values from VASP
! energy of formation from the pure elements = 0.36 eV/atom
! symmetry = I-42d (122)
&SYSTEM
  ibrav = 0, nat = 16, ntyp = 3
/
ATOMIC_SPECIES
Be 9.01 Be.upf
Nb 92.91 Nb.upf
Ru 101.07 Ru.upf
CELL_PARAMETERS angstrom
3.6194 0.0000 0.0000
0.0000 3.6194 0.0000
0.0000 0.0000 17.1322
ATOMIC_POSITIONS crystal
Be 0.1994 0.2500 0.1250
Be 0.2500 0.6994 0.3750
Be 0.2500 0.8006 0.8750
Be 0.3006 0.2500 0.6250
Be 0.6994 0.7500 0.6250
Be 0.7500 0.1994 0.8750
Be 0.7500 0.3006 0.3750
Be 0.8006 0.7500 0.1250
Nb 0.0000 0.0000 0.5000
Nb 0.0000 0.5000 0.7500
Nb 0.5000 0.0000 0.2500
Nb 0.5000 0.5000 0.0000
Ru 0.0000 0.0000 0.0000
Ru 0.0000 0.5000 0.2500
Ru 0.5000 0.0000 0.7500
Ru 0.5000 0.5000 0.5000

# 2
! PBE ZrRe3As, relaxed; values from VASP
! energy of formation from the pure elements = 0.99 eV/atom
! symmetry = Pm-3m (221)
&SYSTEM
  ibrav = 0, nat = 5, ntyp = 3
/
ATOMIC_SPECIES
Zr 91.22 Zr.upf
Re 186.21 Re.upf
As 74.92 As.upf
CELL_PARAMETERS angstrom
4.5463 0.0000 0.0000
0.0000 4.5463 0.0000
0.0000 0.0000 4.5463
ATOMIC_POSITIONS crystal
Zr 0.0000 0.0000 0.0000
Re 0.0000 0.5000 0.5000
Re 0.5000 0.0000 0.5000
Re 0.5000 0.5000 0.0000
As 0.5000 0.5000 0.5000

# 3
! PBE SmHoAl6, relaxed; values from VASP
! energy of formation from the pure elements = -0.43 eV/atom
! symmetry = P-6m2 (187)
&SYSTEM
  ibrav = 0, nat = 8, ntyp = 3
/
ATOMIC_SPECIES
Sm 150.36 Sm.upf
Ho 164.93 Ho.upf
Al 26.98 Al.upf
CELL_PARAMETERS angstrom
6.2998 0.0000 0.0000
-3.1499 5.4558 0.0000
0.0000 0.0000 4.6611
ATOMIC_POSITIONS crystal
Sm 0.0000 0.0000 0.0000
Ho 0.6667 0.3333 0.5000
Al 0.0408 0.5204 0.0000
Al 0.1889 0.3777 0.5000
Al 0.1889 0.8111 0.5000
Al 0.4796 0.5204 0.0000
Al 0.4796 0.9592 0.0000
Al 0.6223 0.8111 0.5000

# 4
! PBE NaCoAgAs2, relaxed; values from VASP
! energy of formation from the pure elements = 1.37 eV/atom
! symmetry = P4/mmm (123)
&SYSTEM
  ibrav = 0, nat = 5, ntyp = 4
/
ATOMIC_SPECIES
Na 22.99 Na.upf
Co 58.93 Co.upf
Ag 107.87 Ag.upf
As 74.92 As.upf
CELL_PARAMETERS angstrom
4.9506 0.0000 0.0000
0.0000 4.9506 0.0000
0.0000 0.0000 4.7809
ATOMIC_POSITIONS crystal
Na 0.0000 0.0000 0.0000
Co 0.5000 0.5000 0.5000
Ag 0.0000 0.0000 0.5000
As 0.0000 0.5000 0.0000
As 0.5000 0.0000 0.0000

# 5
! PBE SrBe2Cd2, relaxed; values from VASP
! energy of formation from the pure elements = 0.16 eV/atom
! symmetry = I4/mmm (139)
&SYSTEM
  ibrav = 0, nat = 10, ntyp = 3
/
ATOMIC_SPECIES
Sr 87.62 Sr.upf
Be 9.01 Be.upf
Cd 112.41 Cd.upf
CELL_PARAMETERS angstrom
4.4710 0.0000 0.0000
0.0000 4.4710 0.0000
0.0000 0.0000 10.4496
ATOMIC_POSITIONS crystal
Sr 0.0000 0.0000 0.0000
Sr 0.5000 0.5000 0.5000
Be 0.0000 0.5000 0.2500
Be 0.0000 0.5000 0.7500
Be 0.5000 0.0000 0.2500
Be 0.5000 0.0000 0.7500
Cd 0.0000 0.0000 0.3572
Cd 0.0000 0.0000 0.6428
Cd 0.5000 0.5000 0.1428
Cd 0.5000 0.5000 0.8572